# Ca2YZn2, PBEsol geometry, DFT meta-GGA SCAN
data_Ca2YZn2
_chemical_formula_sum 'Ca4 Y2 Zn4'
_symmetry_space_group_name_H-M 'I 4/m m m'
_symmetry_Int_Tables_number 139
_symmetry_space_group_name_Hall '-I 4 2'
_cell_length_a 3.616
_cell_length_b 3.616
_cell_length_c 21.524
_cell_angle_alpha 90.00
_cell_angle_beta 90.00
_cell_angle_gamma 90.00
loop_
_atom_site_label
_atom_site_type_symbol
_atom_site_fract_x
_atom_site_fract_y
_atom_site_fract_z
Ca1 Ca 0.000 0.000 0.128
Y1 Y 0.000 0.000 0.500
Zn1 Zn 0.000 0.500 0.250
# N(E_F)   11.84 states/eV per cell

---

# InBiS3, PBEsol geometry, DFT meta-GGA SCAN
data_InBiS3
_chemical_formula_sum 'In2 Bi2 S6'
_symmetry_space_group_name_H-M 'P 1 21/m 1'
_symmetry_Int_Tables_number 11
_cell_length_a 6.531
_cell_length_b 3.872
_cell_length_c 9.771
_cell_angle_alpha 90.00
_cell_angle_beta 91.66
_cell_angle_gamma 90.00
loop_
_symmetry_equiv_pos_as_xyz
'x,y,z'
'-x,-y,-z'
'-x,y+1/2,-z'
'x,-y+1/2,z'
loop_
_atom_site_label
_atom_site_type_symbol
_atom_site_fract_x
_atom_site_fract_y
_atom_site_fract_z
In1 In 0.244 0.250 0.494
Bi1 Bi 0.399 0.750 0.153
S1 S 0.077 0.750 0.352
S2 S 0.246 0.250 0.989
S3 S 0.423 0.750 0.649
# Formation energy (no corrections)   -0.482 eV/atom

---

# KSi2HO5, PBEsol geometry, DFT meta-GGA SCAN
data_KSi2HO5
_chemical_formula_sum 'K8 Si16 H8 O40'
_symmetry_space_group_name_H-M 'C 1 2/m 1'
_symmetry_Int_Tables_number 12
_cell_length_a 14.517
_cell_length_b 8.350
_cell_length_c 9.733
_cell_angle_alpha 90.00
_cell_angle_beta 122.78
_cell_angle_gamma 90.00
loop_
_symmetry_equiv_pos_as_xyz
'x,y,z'
'-x,-y,-z'
'-x,y,-z'
'x,-y,z'
'x+1/2,y+1/2,z'
'-x+1/2,-y+1/2,-z'
'-x+1/2,y+1/2,-z'
'x+1/2,-y+1/2,z'
loop_
_atom_site_label
_atom_site_type_symbol
_atom_site_fract_x
_atom_site_fract_y
_atom_site_fract_z
K1 K 0.000 0.000 0.000
K2 K 0.000 0.000 0.500
K3 K 0.178 0.500 0.021
Si1 Si 0.092 0.312 0.291
Si2 Si 0.195 0.314 0.673
H1 H 0.095 0.227 0.799
O1 O 0.031 0.258 0.840
O2 O 0.117 0.500 0.273
O3 O 0.122 0.278 0.477
O4 O 0.160 0.194 0.765
O5 O 0.175 0.206 0.261
O6 O 0.179 0.500 0.710
# N(E_F)   0.00 states/eV per cell

---

# LiP2Rh, PBEsol geometry, DFT meta-GGA SCAN
data_LiP2Rh
_chemical_formula_sum 'Li2 P4 Rh2'
_symmetry_space_group_name_H-M 'C 1 2/m 1'
_symmetry_Int_Tables_number 12
_cell_length_a 7.366
_cell_length_b 3.298
_cell_length_c 4.944
_cell_angle_alpha 90.00
_cell_angle_beta 102.54
_cell_angle_gamma 90.00
loop_
_symmetry_equiv_pos_as_xyz
'x,y,z'
'-x,-y,-z'
'-x,y,-z'
'x,-y,z'
'x+1/2,y+1/2,z'
'-x+1/2,-y+1/2,-z'
'-x+1/2,y+1/2,-z'
'x+1/2,-y+1/2,z'
loop_
_atom_site_label
_atom_site_type_symbol
_atom_site_fract_x
_atom_site_fract_y
_atom_site_fract_z
Li1 Li 0.000 0.000 0.000
P1 P 0.231 0.000 0.688
Rh1 Rh 0.000 0.500 0.500
# N(E_F)   2.42 states/eV per cell

---

Electronic total energy in eV/atom, matching the order above: -14.758; -28.652; -9.597; -14.717